Below is an optimized crystal structure of CrNiH, with properties calculated at the PBE level.

a = 2.545 Å, b = 3.640 Å, c = 5.327 Å
α = 90.00°, β = 94.01°, γ = 90.00°
Sites, in units of the cell vectors:
Cr  0.182  0.250  0.111
Cr  0.818  0.750  0.889
Ni  0.265  0.250  0.632
Ni  0.735  0.750  0.368
H  0.270  0.750  0.612
H  0.730  0.250  0.388

Results
DOS at the Fermi energy	3.2	states/eV per cell
symmetry	P2_1/m (11)
offset from the most stable computed form	0.04	eV/f.u.